Below is a geometry-optimized SiTcNi structure, with properties calculated at the PBE-GGA level.

Cell lengths 4.2052, 2.8664, 6.4028 Å; angles 90.00, 102.02, 90.00 degrees
Last column: nearest neighbours and their distance in Å.
Fractional coordinates of all 6 atoms:
Ni 0.7386 0.2500 0.4650  2 Si 2.35, 4 Ni 2.58
Ni 0.2614 0.7500 0.5350  2 Si 2.35, 4 Ni 2.58
Si 0.3370 0.2500 0.8328  2 Ni 2.35, 5 Tc 2.46-2.57
Si 0.6630 0.7500 0.1672  2 Ni 2.35, 5 Tc 2.46-2.57
Tc 0.1732 0.2500 0.1805  5 Si 2.46-2.57, 3 Ni 2.64-2.68
Tc 0.8268 0.7500 0.8195  5 Si 2.46-2.57, 3 Ni 2.64-2.68

Output
Distance to the lowest polymorph of the same formula ... 97 meV/atom
Density ... 8.130 Mg/m³

Below is a geometry-optimized Si2TcNiTe structure, with properties calculated at the PBE-GGA level.

Cell lengths 4.5985, 4.8891, 4.5985 Å; angles 90.00, 90.00, 90.00 degrees
Last column: nearest neighbours and their distance in Å.
Fractional coordinates of all 5 atoms:
Ni 0.0000 0.5000 0.0000  2 Tc 2.44
Si 0.0000 0.0000 0.5000  2 Tc 2.30
Si 0.5000 0.0000 0.0000  2 Tc 2.30
Te 0.5000 0.5000 0.5000  4 Ni 3.25, 8 Si 3.36
Tc 0.0000 0.0000 0.0000  4 Si 2.30, 2 Ni 2.44

Output
Density ... 5.469 Mg/m³

Below is a geometry-optimized ThSi2TcNi structure, with properties calculated at the PBE-GGA level.

Cell lengths 4.0986, 4.0986, 5.8283 Å; angles 110.59, 110.59, 90.00 degrees
Last column: nearest neighbours and their distance in Å.
Fractional coordinates of all 5 atoms:
Th 0.0000 0.0000 0.0000  8 Si 3.17, 4 Tc 3.25, 4 Ni 3.25
Si 0.6274 0.6274 0.2548  2 Ni 2.40, 2 Tc 2.40, 1 Si 2.58
Si 0.3726 0.3726 0.7452  2 Tc 2.40, 2 Ni 2.40, 1 Si 2.58
Tc 0.2500 0.7500 0.5000  4 Si 2.40
Ni 0.7500 0.2500 0.5000  4 Si 2.40

Output
Density ... 8.697 Mg/m³

Uncorrected formation energy readings, ordered: -0.305, 0.691, -0.751 eV per atom